#one
The following is a PBE calculation of a geometry-optimized Pu3Ge2Pt structure, from Alexandria via LeMat-Bulk.

Lattice parameters (Å, degrees): 12.069 4.387 10.298 90.00 90.00 90.00
Space group Pnma (No. 62)
Inequivalent atoms, fractional coordinates:
Pu1 0.047 0.250 0.092 x4
Pu2 0.128 0.750 0.562 x4
Pu3 0.236 0.250 0.782 x4
Ge1 0.002 0.750 0.286 x4
Ge2 0.199 0.750 0.993 x4
Pt1 0.114 0.250 0.362 x4

=====

#two
The following is a PBE calculation of a geometry-optimized Pu3Ge2Pt structure, from Alexandria via LeMat-Bulk.

Lattice parameters (Å, degrees): 6.105 14.904 5.885 90.00 90.00 90.00
Space group Ibam (No. 72)
Inequivalent atoms, fractional coordinates:
Pu1 0.000 0.000 0.250 x4
Pu2 0.243 0.170 0.000 x8
Ge1 0.223 0.371 0.000 x8
Pt1 0.000 0.500 0.250 x4

=====

Most stable: #one (next structure +10.2 kJ/mol of atoms)

=====

#one
The following is a PBE calculation of a geometry-optimized RbGe3Pt structure, from Alexandria via LeMat-Bulk.

Lattice parameters (Å, degrees): 5.384 5.384 5.384 90.00 90.00 90.00
Space group Pm-3m (No. 221)
Inequivalent atoms, fractional coordinates:
Rb1 0.000 0.000 0.000 x1
Ge1 0.000 0.000 0.500 x3
Pt1 0.500 0.500 0.500 x1

=====

#two
The following is a PBE calculation of a geometry-optimized RbGe3Pt structure, from Alexandria via LeMat-Bulk.

Lattice parameters (Å, degrees): 5.096 5.096 5.096 90.00 90.00 90.00
Space group Pm-3m (No. 221)
Inequivalent atoms, fractional coordinates:
Rb1 0.000 0.000 0.000 x1
Ge1 0.000 0.500 0.500 x3
Pt1 0.500 0.500 0.500 x1

=====

Most stable: #two (next structure +178.5 kJ/mol of atoms)

=====

#one
The following is a PBE calculation of a geometry-optimized ReGePt3 structure, from Alexandria via LeMat-Bulk.

Lattice parameters (Å, degrees): 4.616 4.616 4.616 90.00 90.00 90.00
Space group Pm-3m (No. 221)
Inequivalent atoms, fractional coordinates:
Re1 0.000 0.000 0.000 x1
Ge1 0.500 0.500 0.500 x1
Pt1 0.000 0.500 0.500 x3

=====

#two
The following is a PBE calculation of a geometry-optimized ReGePt3 structure, from Alexandria via LeMat-Bulk.

Lattice parameters (Å, degrees): 4.848 4.848 4.848 90.00 90.00 90.00
Space group Pm-3m (No. 221)
Inequivalent atoms, fractional coordinates:
Re1 0.000 0.000 0.000 x1
Ge1 0.500 0.500 0.500 x1
Pt1 0.000 0.000 0.500 x3

=====

Most stable: #two (next structure +3.1 kJ/mol of atoms)